# NaPrNO PBE optimized geometry
# M_tot   2.00 μB per cell
# E   -0.223 Ha/atom
# Distance to the lowest polymorph of the same formula   0.015 eV per atom
data_NaPrNO
_symmetry_space_group_name_H-M 'P m m a'
_symmetry_Int_Tables_number 51
_symmetry_space_group_name_Hall '-P 2a 2a'
_cell_length_a 4.862
_cell_length_b 4.349
_cell_length_c 6.757
_cell_angle_alpha 90.00
_cell_angle_beta 90.00
_cell_angle_gamma 90.00
loop_
_atom_site_label
_atom_site_fract_x
_atom_site_fract_y
_atom_site_fract_z
Na1 0.250 0.000 0.186
Pr1 0.250 0.500 0.697
N1 0.250 0.000 0.836
O1 0.250 0.500 0.354